# 1
Here is an optimized crystal structure of K3Ti8O17 from Alexandria via LeMat-Bulk. Energies are from GGA-PBE.

Computed properties:
total magnetization = 0.96 μB per formula unit
raw total energy = -8.2679 eV/atom

Lattice parameters (Å, degrees): 15.8579 3.8386 12.1877 90.00 95.53 90.00
Space group Cm (No. 8)
Unique sites:
K 0.0000 0.0000 0.0000 x2
K 0.0512 0.0000 0.3084 x2
K 0.1133 0.0000 0.6519 x2
Ti 0.1686 0.5000 0.8991 x2
Ti 0.2088 0.5000 0.1537 x2
Ti 0.2543 0.5000 0.4084 x2
Ti 0.2998 0.5000 0.6614 x2
Ti 0.3142 0.0000 0.0000 x2
Ti 0.3577 0.0000 0.2534 x2
Ti 0.4049 0.0000 0.5064 x2
Ti 0.4456 0.0000 0.7608 x2
O 0.0569 0.5000 0.8305 x2
O 0.1192 0.5000 0.0553 x2
O 0.1650 0.5000 0.2933 x2
O 0.1936 0.0000 0.9176 x2
O 0.2077 0.5000 0.5383 x2
O 0.2283 0.5000 0.7655 x2
O 0.2419 0.0000 0.1550 x2
O 0.2823 0.0000 0.3977 x2
O 0.2848 0.5000 0.0149 x2
O 0.3288 0.0000 0.6468 x2
O 0.3312 0.5000 0.2639 x2
O 0.3712 0.5000 0.5064 x2
O 0.3852 0.0000 0.8958 x2
O 0.4064 0.0000 0.1244 x2
O 0.4200 0.5000 0.7449 x2
O 0.4484 0.0000 0.3674 x2
O 0.4932 0.0000 0.6072 x2

***

# 2
Here is an optimized crystal structure of KTi16O32 from Alexandria via LeMat-Bulk. Energies are from GGA-PBE.

Computed properties:
total magnetization = 0.00 μB per formula unit
raw total energy = -8.8087 eV/atom

Lattice parameters (Å, degrees): 8.5401 8.5416 10.4166 102.71 112.02 105.90
Space group P-1 (No. 2)
Unique sites:
K 0.0000 0.0000 0.0000 x1
Ti 0.1804 0.8597 0.3911 x2
Ti 0.1812 0.1116 0.6425 x2
Ti 0.1828 0.6075 0.1440 x2
Ti 0.1897 0.3683 0.8928 x2
Ti 0.4647 0.3097 0.4931 x2
Ti 0.4670 0.8128 0.9930 x2
Ti 0.4680 0.5634 0.7429 x2
Ti 0.4765 0.0598 0.2504 x2
O 0.0523 0.1227 0.7604 x2
O 0.0522 0.6211 0.2579 x2
O 0.0519 0.8721 0.5072 x2
O 0.0532 0.3706 0.0083 x2
O 0.2945 0.1239 0.5026 x2
O 0.2941 0.8747 0.2511 x2
O 0.2951 0.3743 0.7523 x2
O 0.2953 0.6248 0.0029 x2
O 0.3622 0.2266 0.2792 x2
O 0.3631 0.7292 0.7810 x2
O 0.3628 0.9793 0.0315 x2
O 0.3644 0.4793 0.5312 x2
O 0.3769 0.0758 0.7815 x2
O 0.3766 0.3249 0.0310 x2
O 0.3785 0.8262 0.5305 x2
O 0.3795 0.5770 0.2818 x2

***

# 3
Here is an optimized crystal structure of KTiO3 from Alexandria via LeMat-Bulk. Energies are from GGA-PBE.

Computed properties:
total magnetization = 0.97 μB per formula unit
raw total energy = -7.0233 eV/atom

Lattice parameters (Å, degrees): 3.7091 3.7091 5.6893 90.00 90.00 90.00
Space group P4mm (No. 99)
Unique sites:
K 0.0000 0.0000 0.0000 x1
Ti 0.5000 0.5000 0.4935 x1
O 0.0000 0.5000 0.6068 x2
O 0.5000 0.5000 0.1908 x1

***

# 4
Here is an optimized crystal structure of KTi6O12 from Alexandria via LeMat-Bulk. Energies are from GGA-PBE.

Computed properties:
total magnetization = 1.06 μB per formula unit
polymorph energy (0 for the lowest one) = 0.000 eV/atom

Lattice parameters (Å, degrees): 10.2854 10.2854 8.9403 90.00 90.00 90.00
Space group I4/m (No. 87)
Unique sites:
K 0.0000 0.0000 0.2237 x4
Ti 0.1488 0.6667 0.1660 x16
Ti 0.1503 0.6708 0.5000 x8
O 0.0400 0.3336 0.1670 x16
O 0.0397 0.3357 0.5000 x8
O 0.1555 0.7950 0.0000 x8
O 0.1562 0.7946 0.3332 x16

***

# 5
Here is an optimized crystal structure of K2Ti6O13 from Alexandria via LeMat-Bulk. Energies are from GGA-PBE.

Computed properties:
total magnetization = 0.00 μB per formula unit
raw total energy = -8.3475 eV/atom

Lattice parameters (Å, degrees): 15.8171 3.8203 9.2354 90.00 100.07 90.00
Space group C2/m (No. 12)
Unique sites:
K 0.0445 0.0000 0.2506 x4
Ti 0.1147 0.5000 0.5959 x4
Ti 0.1716 0.5000 0.9375 x4
Ti 0.2316 0.5000 0.2764 x4
O 0.0000 0.5000 0.5000 x2
O 0.0786 0.5000 0.7901 x4
O 0.1348 0.5000 0.1147 x4
O 0.1421 0.0000 0.6119 x4
O 0.1664 0.5000 0.4145 x4
O 0.2033 0.0000 0.9285 x4
O 0.2395 0.5000 0.7398 x4

***

# 6
Here is an optimized crystal structure of K6Ti2O7 from Alexandria via LeMat-Bulk. Energies are from GGA-PBE.

Computed properties:
total magnetization = 0.11 μB per formula unit
raw total energy = -6.0362 eV/atom

Lattice parameters (Å, degrees): 6.6374 9.3824 11.4822 90.00 123.40 90.00
Space group P2_1/c (No. 14)
Unique sites:
K 0.0582 0.1563 0.4333 x4
K 0.2069 0.5278 0.4567 x4
K 0.4082 0.2042 0.2789 x4
Ti 0.3087 0.6446 0.8677 x4
O 0.0375 0.6750 0.8676 x4
O 0.2346 0.5970 0.6950 x4
O 0.5000 0.0000 0.5000 x2
O 0.4996 0.1987 0.0727 x4

***

# 7
Here is an optimized crystal structure of K4TiO4 from Alexandria via LeMat-Bulk. Energies are from GGA-PBE.

Computed properties:
total magnetization = 0.00 μB per formula unit
polymorph energy (0 for the lowest one) = 0.037 eV/atom

Lattice parameters (Å, degrees): 7.4310 7.4310 6.1355 90.00 90.00 90.00
Space group P4_2/nmc (No. 137, origin choice 2)
Unique sites:
K 0.0339 0.2500 0.1340 x8
Ti 0.2500 0.7500 0.2500 x2
O 0.0487 0.7500 0.4279 x8

***

# 8
Here is an optimized crystal structure of KTi4O6 from Alexandria via LeMat-Bulk. Energies are from GGA-PBE.

Computed properties:
total magnetization = 0.00 μB per formula unit
raw total energy = -8.2573 eV/atom

Lattice parameters (Å, degrees): 3.0286 10.1028 15.7872 90.00 90.00 90.00
Space group Cmcm (No. 63)
Unique sites:
K 0.0000 0.1526 0.2500 x4
Ti 0.0000 0.1009 0.6314 x8
Ti 0.0000 0.3498 0.5388 x8
O 0.0000 0.0000 0.0000 x4
O 0.0000 0.1383 0.7500 x4
O 0.0000 0.2706 0.0900 x8
O 0.0000 0.4714 0.6403 x8

***

# 9
Here is an optimized crystal structure of K3Ti5O12 from Alexandria via LeMat-Bulk. Energies are from GGA-PBE.

Computed properties:
total magnetization = 1.15 μB per formula unit
raw total energy = -7.7290 eV/atom

Lattice parameters (Å, degrees): 13.0627 13.0627 13.0627 90.00 90.00 90.00
Space group Ia-3d (No. 230)
Unique sites:
K 0.0000 0.2500 0.1250 x24
Ti 0.0000 0.0000 0.0000 x16
Ti 0.0000 0.2500 0.3750 x24
O 0.0361 0.1432 0.9602 x96

***

# 10
Here is an optimized crystal structure of K4TiO4 from Alexandria via LeMat-Bulk. Energies are from GGA-PBE.

Computed properties:
total magnetization = 0.16 μB per formula unit
polymorph energy (0 for the lowest one) = 0.096 eV/atom

Lattice parameters (Å, degrees): 6.4212 6.4212 11.0440 90.00 90.00 90.00
Space group I-42m (No. 121)
Unique sites:
K 0.0000 0.0000 0.2076 x4
K 0.0000 0.5000 0.0000 x4
Ti 0.0000 0.0000 0.5000 x2
O 0.1661 0.1661 0.5971 x8

***

# 11
Here is an optimized crystal structure of K2Ti8O17 from Alexandria via LeMat-Bulk. Energies are from GGA-PBE.

Computed properties:
total magnetization = 0.00 μB per formula unit
raw total energy = -8.4779 eV/atom

Lattice parameters (Å, degrees): 15.9539 3.8022 12.1480 90.00 96.39 90.00
Space group C2/m (No. 12)
Unique sites:
K 0.0523 0.0000 0.2958 x4
Ti 0.1105 0.5000 0.5689 x4
Ti 0.1533 0.5000 0.8269 x4
Ti 0.1943 0.5000 0.0752 x4
Ti 0.2406 0.5000 0.3315 x4
O 0.0000 0.5000 0.5000 x2
O 0.0676 0.5000 0.7161 x4
O 0.1084 0.5000 0.9598 x4
O 0.1390 0.0000 0.5830 x4
O 0.1514 0.5000 0.2079 x4
O 0.1688 0.5000 0.4334 x4
O 0.1872 0.0000 0.8218 x4
O 0.2274 0.0000 0.0674 x4
O 0.2296 0.5000 0.6809 x4

***

# 12
Here is an optimized crystal structure of KTi5O8 from Alexandria via LeMat-Bulk. Energies are from GGA-PBE.

Computed properties:
total magnetization = 0.94 μB per formula unit
raw total energy = -8.4634 eV/atom

Lattice parameters (Å, degrees): 15.2031 2.9897 7.6553 90.00 106.84 90.00
Space group C2/m (No. 12)
Unique sites:
K 0.0000 0.0000 0.0000 x2
Ti 0.0000 0.5000 0.5000 x2
Ti 0.1668 0.0000 0.4731 x4
Ti 0.2049 0.0000 0.8373 x4
O 0.0796 0.0000 0.6430 x4
O 0.0846 0.5000 0.3378 x4
O 0.1704 0.5000 0.9809 x4
O 0.2339 0.5000 0.6654 x4

***

> What is the total magnetization in the third record?

0.97 μB per formula unit

***

What did the fourth record say?
Here is an optimized crystal structure of KTi6O12 from Alexandria via LeMat-Bulk. Energies are from GGA-PBE.

Computed properties:
total magnetization = 1.06 μB per formula unit
polymorph energy (0 for the lowest one) = 0.000 eV/atom

Lattice parameters (Å, degrees): 10.2854 10.2854 8.9403 90.00 90.00 90.00
Space group I4/m (No. 87)
Unique sites:
K 0.0000 0.0000 0.2237 x4
Ti 0.1488 0.6667 0.1660 x16
Ti 0.1503 0.6708 0.5000 x8
O 0.0400 0.3336 0.1670 x16
O 0.0397 0.3357 0.5000 x8
O 0.1555 0.7950 0.0000 x8
O 0.1562 0.7946 0.3332 x16

***

> Which formula does entry 10 have?

K4TiO4